# 1
## Y3HPb (PBEsol)

Data for crystalline Y3HPb at its relaxed geometry.

Output
- total DFT energy (no corrections) (eV/atom) = -6.05
- crystal system = monoclinic

Geometry as CIF:
```
data_Y3HPb
_cell_length_a 5.215
_cell_length_b 6.646
_cell_length_c 6.895
_cell_angle_alpha 103.90
_cell_angle_beta 90.00
_cell_angle_gamma 90.00
_symmetry_space_group_name_H-M 'P 1'
_symmetry_Int_Tables_number 1
loop_
_symmetry_equiv_pos_as_xyz
'x,y,z'
loop_
_atom_site_label
_atom_site_type_symbol
_atom_site_fract_x
_atom_site_fract_y
_atom_site_fract_z
Y1 Y 0.611 0.626 0.756
H1 H 0.857 0.115 0.160
Y2 Y 0.600 0.126 0.408
Y3 Y 0.100 0.874 0.592
Pb1 Pb 0.112 0.365 0.725
Y4 Y 0.111 0.374 0.244
Y5 Y 0.104 0.843 0.078
Pb2 Pb 0.612 0.635 0.275
Y6 Y 0.604 0.157 0.922
H2 H 0.357 0.885 0.840
```

# 2
## MnFeAg2 (PBEsol)

Data for crystalline MnFeAg2 at its relaxed geometry.

Output
- energy relative to the elements (eV per formula unit) = 1.8
- total DFT energy (no corrections) (eV/atom) = -5.89
- crystal system = tetragonal

Geometry as CIF:
```
data_MnFeAg2
_cell_length_a 3.842
_cell_length_b 3.843
_cell_length_c 4.800
_cell_angle_alpha 113.60
_cell_angle_beta 113.59
_cell_angle_gamma 90.00
_symmetry_space_group_name_H-M 'P 1'
_symmetry_Int_Tables_number 1
loop_
_symmetry_equiv_pos_as_xyz
'x,y,z'
loop_
_atom_site_label
_atom_site_type_symbol
_atom_site_fract_x
_atom_site_fract_y
_atom_site_fract_z
Ag1 Ag 0.250 0.250 0.500
Mn1 Mn 0.000 0.500 0.000
Ag2 Ag 0.750 0.750 0.500
Fe1 Fe 0.500 0.000 0.000
```

# 3
## TlCdPb (PBEsol)

Data for crystalline TlCdPb at its relaxed geometry.

Output
- energy relative to the elements (eV per formula unit) = 0.2
- total DFT energy (no corrections) (eV/atom) = -2.55
- crystal system = orthorhombic

Geometry as CIF:
```
data_TlCdPb
_cell_length_a 3.331
_cell_length_b 3.331
_cell_length_c 8.194
_cell_angle_alpha 96.69
_cell_angle_beta 96.69
_cell_angle_gamma 115.28
_symmetry_space_group_name_H-M 'P 1'
_symmetry_Int_Tables_number 1
loop_
_symmetry_equiv_pos_as_xyz
'x,y,z'
loop_
_atom_site_label
_atom_site_type_symbol
_atom_site_fract_x
_atom_site_fract_y
_atom_site_fract_z
Cd1 Cd 0.001 0.001 0.002
Pb1 Pb 0.340 0.340 0.680
Tl1 Tl 0.659 0.659 0.318
```

# 4
## LiLaTl2 (PBEsol)

Data for crystalline LiLaTl2 at its relaxed geometry.

Output
- energy relative to the elements (eV per formula unit) = -0.2
- total DFT energy (no corrections) (eV/atom) = -3.19
- crystal system = orthorhombic

Geometry as CIF:
```
data_LiLaTl2
_cell_length_a 3.378
_cell_length_b 3.378
_cell_length_c 10.437
_cell_angle_alpha 90.00
_cell_angle_beta 90.00
_cell_angle_gamma 112.42
_symmetry_space_group_name_H-M 'P 1'
_symmetry_Int_Tables_number 1
loop_
_symmetry_equiv_pos_as_xyz
'x,y,z'
loop_
_atom_site_label
_atom_site_type_symbol
_atom_site_fract_x
_atom_site_fract_y
_atom_site_fract_z
Tl1 Tl 0.000 0.000 0.010
La1 La 0.000 0.000 0.505
Tl2 Tl 0.500 0.500 0.765
Li1 Li 0.500 0.500 0.220
```

# 5
## LiTeSCl2 (PBEsol)

Data for crystalline LiTeSCl2 at its relaxed geometry.

Output
- total DFT energy (no corrections) (eV/atom) = -3.05
- crystal system = tetragonal
- uncorrected formation energy (meV/atom) = -273.9

Geometry as CIF:
```
data_LiTeSCl2
_cell_length_a 4.380
_cell_length_b 4.380
_cell_length_c 4.860
_cell_angle_alpha 90.00
_cell_angle_beta 90.00
_cell_angle_gamma 90.00
_symmetry_space_group_name_H-M 'P 1'
_symmetry_Int_Tables_number 1
loop_
_symmetry_equiv_pos_as_xyz
'x,y,z'
loop_
_atom_site_label
_atom_site_type_symbol
_atom_site_fract_x
_atom_site_fract_y
_atom_site_fract_z
Li1 Li 0.000 0.000 0.000
Cl1 Cl 0.000 0.500 0.000
Te1 Te 0.500 0.500 0.500
Cl2 Cl 0.500 0.000 0.000
S1 S 0.000 0.000 0.500
```

# 6
## K2HRuO (PBEsol)

Data for crystalline K2HRuO at its relaxed geometry.

Output
- total DFT energy (no corrections) (eV/atom) = -4.26
- crystal system = tetragonal

Geometry as CIF:
```
data_K2HRuO
_cell_length_a 3.676
_cell_length_b 5.559
_cell_length_c 5.559
_cell_angle_alpha 90.00
_cell_angle_beta 90.00
_cell_angle_gamma 90.00
_symmetry_space_group_name_H-M 'P 1'
_symmetry_Int_Tables_number 1
loop_
_symmetry_equiv_pos_as_xyz
'x,y,z'
loop_
_atom_site_label
_atom_site_type_symbol
_atom_site_fract_x
_atom_site_fract_y
_atom_site_fract_z
O1 O 0.000 0.000 0.000
Ru1 Ru 0.500 0.000 0.000
K1 K 0.000 0.500 0.000
H1 H 0.500 0.500 0.500
K2 K 0.000 0.000 0.500
```

# 7
## LiZn2Au (PBEsol)

Data for crystalline LiZn2Au at its relaxed geometry.

Output
- energy relative to the elements (eV per formula unit) = -1.1
- total DFT energy (no corrections) (eV/atom) = -2.53
- crystal system = orthorhombic

Geometry as CIF:
```
data_LiZn2Au
_cell_length_a 2.728
_cell_length_b 3.864
_cell_length_c 5.491
_cell_angle_alpha 90.00
_cell_angle_beta 90.07
_cell_angle_gamma 90.00
_symmetry_space_group_name_H-M 'P 1'
_symmetry_Int_Tables_number 1
loop_
_symmetry_equiv_pos_as_xyz
'x,y,z'
loop_
_atom_site_label
_atom_site_type_symbol
_atom_site_fract_x
_atom_site_fract_y
_atom_site_fract_z
Li1 Li 0.500 0.500 0.746
Zn1 Zn 0.000 0.000 0.002
Au1 Au 0.000 0.000 0.510
Zn2 Zn 0.500 0.500 0.242
```

# 8
## KBaIn2Os (PBEsol)

Data for crystalline KBaIn2Os at its relaxed geometry.

Output
- energy relative to the elements (eV per formula unit) = 9.8
- total DFT energy (no corrections) (eV/atom) = -2.34
- crystal system = tetragonal

Geometry as CIF:
```
data_KBaIn2Os
_cell_length_a 5.482
_cell_length_b 5.482
_cell_length_c 5.883
_cell_angle_alpha 90.00
_cell_angle_beta 90.00
_cell_angle_gamma 90.00
_symmetry_space_group_name_H-M 'P 1'
_symmetry_Int_Tables_number 1
loop_
_symmetry_equiv_pos_as_xyz
'x,y,z'
loop_
_atom_site_label
_atom_site_type_symbol
_atom_site_fract_x
_atom_site_fract_y
_atom_site_fract_z
In1 In 0.000 0.500 0.000
In2 In 0.500 0.000 0.000
Ba1 Ba 0.000 0.000 0.500
K1 K 0.000 0.000 0.000
Os1 Os 0.500 0.500 0.500
```

# 9
## NiIrPt2 (PBEsol)

Data for crystalline NiIrPt2 at its relaxed geometry.

Output
- energy relative to the elements (eV per formula unit) = 0.1
- total DFT energy (no corrections) (eV/atom) = -7.46
- crystal system = tetragonal

Geometry as CIF:
```
data_NiIrPt2
_cell_length_a 3.819
_cell_length_b 3.819
_cell_length_c 4.623
_cell_angle_alpha 114.39
_cell_angle_beta 114.39
_cell_angle_gamma 90.00
_symmetry_space_group_name_H-M 'P 1'
_symmetry_Int_Tables_number 1
loop_
_symmetry_equiv_pos_as_xyz
'x,y,z'
loop_
_atom_site_label
_atom_site_type_symbol
_atom_site_fract_x
_atom_site_fract_y
_atom_site_fract_z
Pt1 Pt 0.000 0.000 0.000
Ni1 Ni 0.250 0.750 0.500
Ir1 Ir 0.500 0.500 0.000
Pt2 Pt 0.750 0.250 0.500
```

# 10
## TcNi2Os (PBEsol)

Data for crystalline TcNi2Os at its relaxed geometry.

Output
- energy relative to the elements (eV per formula unit) = 0.4
- total DFT energy (no corrections) (eV/atom) = -8.84
- crystal system = tetragonal

Geometry as CIF:
```
data_TcNi2Os
_cell_length_a 3.628
_cell_length_b 3.628
_cell_length_c 4.506
_cell_angle_alpha 113.74
_cell_angle_beta 113.74
_cell_angle_gamma 90.00
_symmetry_space_group_name_H-M 'P 1'
_symmetry_Int_Tables_number 1
loop_
_symmetry_equiv_pos_as_xyz
'x,y,z'
loop_
_atom_site_label
_atom_site_type_symbol
_atom_site_fract_x
_atom_site_fract_y
_atom_site_fract_z
Os1 Os 0.000 0.000 0.000
Tc1 Tc 0.500 0.500 0.000
Ni1 Ni 0.750 0.250 0.500
Ni2 Ni 0.250 0.750 0.500
```

# 11
## CoAgN (PBEsol)

Data for crystalline CoAgN at its relaxed geometry.

Output
- total DFT energy (no corrections) (eV/atom) = -5.90
- crystal system = hexagonal
- uncorrected formation energy (meV/atom) = 620.9

Geometry as CIF:
```
data_CoAgN
_cell_length_a 3.399
_cell_length_b 3.850
_cell_length_c 3.850
_cell_angle_alpha 120.00
_cell_angle_beta 90.00
_cell_angle_gamma 90.00
_symmetry_space_group_name_H-M 'P 1'
_symmetry_Int_Tables_number 1
loop_
_symmetry_equiv_pos_as_xyz
'x,y,z'
loop_
_atom_site_label
_atom_site_type_symbol
_atom_site_fract_x
_atom_site_fract_y
_atom_site_fract_z
Co1 Co 0.000 0.667 0.333
N1 N 0.500 0.667 0.333
Ag1 Ag 0.500 0.333 0.667
```

# 12
## LiBe2W (PBEsol)

Data for crystalline LiBe2W at its relaxed geometry.

Output
- energy relative to the elements (eV per formula unit) = 1.6
- total DFT energy (no corrections) (eV/atom) = -5.55
- crystal system = trigonal

Geometry as CIF:
```
data_LiBe2W
_cell_length_a 2.654
_cell_length_b 2.654
_cell_length_c 8.624
_cell_angle_alpha 81.15
_cell_angle_beta 81.15
_cell_angle_gamma 60.00
_symmetry_space_group_name_H-M 'P 1'
_symmetry_Int_Tables_number 1
loop_
_symmetry_equiv_pos_as_xyz
'x,y,z'
loop_
_atom_site_label
_atom_site_type_symbol
_atom_site_fract_x
_atom_site_fract_y
_atom_site_fract_z
Be1 Be 0.252 0.252 0.243
Be2 Be 0.748 0.748 0.757
W1 W 0.000 0.000 0.000
Li1 Li 0.500 0.500 0.500
```

# 13
## YWI2O (PBEsol)

Data for crystalline YWI2O at its relaxed geometry.

Output
- total DFT energy (no corrections) (eV/atom) = -5.80
- crystal system = tetragonal
- uncorrected formation energy (meV/atom) = 79.2

Geometry as CIF:
```
data_YWI2O
_cell_length_a 4.085
_cell_length_b 5.978
_cell_length_c 5.978
_cell_angle_alpha 90.00
_cell_angle_beta 90.00
_cell_angle_gamma 90.00
_symmetry_space_group_name_H-M 'P 1'
_symmetry_Int_Tables_number 1
loop_
_symmetry_equiv_pos_as_xyz
'x,y,z'
loop_
_atom_site_label
_atom_site_type_symbol
_atom_site_fract_x
_atom_site_fract_y
_atom_site_fract_z
I1 I 0.000 0.000 0.500
W1 W 0.500 0.500 0.500
I2 I 0.000 0.500 0.000
O1 O 0.500 0.000 0.000
Y1 Y 0.000 0.000 0.000
```

# 14
## HfAgTeRu2 (PBEsol)

Data for crystalline HfAgTeRu2 at its relaxed geometry.

Output
- total DFT energy (no corrections) (eV/atom) = -6.20
- crystal system = tetragonal
- uncorrected formation energy (meV/atom) = 1339.7

Geometry as CIF:
```
data_HfAgTeRu2
_cell_length_a 4.701
_cell_length_b 4.701
_cell_length_c 5.026
_cell_angle_alpha 90.00
_cell_angle_beta 90.00
_cell_angle_gamma 90.00
_symmetry_space_group_name_H-M 'P 1'
_symmetry_Int_Tables_number 1
loop_
_symmetry_equiv_pos_as_xyz
'x,y,z'
loop_
_atom_site_label
_atom_site_type_symbol
_atom_site_fract_x
_atom_site_fract_y
_atom_site_fract_z
Ag1 Ag 0.000 0.000 0.500
Hf1 Hf 0.000 0.000 0.000
Ru1 Ru 0.000 0.500 0.000
Ru2 Ru 0.500 0.000 0.000
Te1 Te 0.500 0.500 0.500
```

# 15
## KBeW2 (PBEsol)

Data for crystalline KBeW2 at its relaxed geometry.

Output
- energy relative to the elements (eV per formula unit) = 3.9
- total DFT energy (no corrections) (eV/atom) = -7.20
- crystal system = orthorhombic

Geometry as CIF:
```
data_KBeW2
_cell_length_a 2.610
_cell_length_b 2.998
_cell_length_c 9.050
_cell_angle_alpha 90.00
_cell_angle_beta 90.00
_cell_angle_gamma 90.00
_symmetry_space_group_name_H-M 'P 1'
_symmetry_Int_Tables_number 1
loop_
_symmetry_equiv_pos_as_xyz
'x,y,z'
loop_
_atom_site_label
_atom_site_type_symbol
_atom_site_fract_x
_atom_site_fract_y
_atom_site_fract_z
W1 W 0.000 0.000 0.843
W2 W 0.000 0.000 0.157
K1 K 0.500 0.500 0.500
Be1 Be 0.500 0.500 0.000
```

# 16
## LiZrI2 (PBEsol)

Data for crystalline LiZrI2 at its relaxed geometry.

Output
- total DFT energy (no corrections) (eV/atom) = -3.87
- crystal system = tetragonal
- uncorrected formation energy (meV/atom) = -221.6

Geometry as CIF:
```
data_LiZrI2
_cell_length_a 7.479
_cell_length_b 6.669
_cell_length_c 7.479
_cell_angle_alpha 55.90
_cell_angle_beta 90.00
_cell_angle_gamma 124.10
_symmetry_space_group_name_H-M 'P 1'
_symmetry_Int_Tables_number 1
loop_
_symmetry_equiv_pos_as_xyz
'x,y,z'
loop_
_atom_site_label
_atom_site_type_symbol
_atom_site_fract_x
_atom_site_fract_y
_atom_site_fract_z
Li1 Li 0.500 0.000 0.500
I1 I 0.375 0.250 0.143
Li2 Li 0.250 0.500 0.250
I2 I 0.875 0.250 0.607
I3 I 0.607 0.750 0.375
Zr1 Zr 0.750 0.500 0.750
Zr2 Zr 0.000 0.000 0.000
I4 I 0.143 0.750 0.875
```

# 17
## NdMg (PBEsol)

Data for crystalline NdMg at its relaxed geometry.

Output
- energy relative to the elements (eV per formula unit) = -0.2
- total DFT energy (no corrections) (eV/atom) = -3.55
- crystal system = cubic

Geometry as CIF:
```
data_NdMg
_cell_length_a 3.829
_cell_length_b 3.829
_cell_length_c 3.829
_cell_angle_alpha 90.00
_cell_angle_beta 90.00
_cell_angle_gamma 90.00
_symmetry_space_group_name_H-M 'P 1'
_symmetry_Int_Tables_number 1
loop_
_symmetry_equiv_pos_as_xyz
'x,y,z'
loop_
_atom_site_label
_atom_site_type_symbol
_atom_site_fract_x
_atom_site_fract_y
_atom_site_fract_z
Mg1 Mg 0.000 0.000 0.000
Nd1 Nd 0.500 0.500 0.500
```

# 18
## AgBiO2 (PBEsol)

Data for crystalline AgBiO2 at its relaxed geometry.

Output
- total DFT energy (no corrections) (eV/atom) = -5.28
- crystal system = monoclinic
- uncorrected formation energy (meV/atom) = -751.5

Geometry as CIF:
```
data_AgBiO2
_cell_length_a 3.542
_cell_length_b 6.452
_cell_length_c 6.580
_cell_angle_alpha 97.98
_cell_angle_beta 90.00
_cell_angle_gamma 105.93
_symmetry_space_group_name_H-M 'P 1'
_symmetry_Int_Tables_number 1
loop_
_symmetry_equiv_pos_as_xyz
'x,y,z'
loop_
_atom_site_label
_atom_site_type_symbol
_atom_site_fract_x
_atom_site_fract_y
_atom_site_fract_z
Ag1 Ag 0.000 0.000 0.000
Bi1 Bi 0.240 0.479 0.741
Ag2 Ag 0.500 0.000 0.500
Bi2 Bi 0.760 0.521 0.259
O1 O 0.664 0.327 0.513
O2 O 0.838 0.676 0.885
O3 O 0.162 0.324 0.115
O4 O 0.336 0.673 0.487
```

# 19
## Ca3TaP (PBEsol)

Data for crystalline Ca3TaP at its relaxed geometry.

Output
- energy relative to the elements (eV per formula unit) = 2.1
- total DFT energy (no corrections) (eV/atom) = -4.53
- crystal system = cubic

Geometry as CIF:
```
data_Ca3TaP
_cell_length_a 5.389
_cell_length_b 5.389
_cell_length_c 5.389
_cell_angle_alpha 90.00
_cell_angle_beta 90.00
_cell_angle_gamma 90.00
_symmetry_space_group_name_H-M 'P 1'
_symmetry_Int_Tables_number 1
loop_
_symmetry_equiv_pos_as_xyz
'x,y,z'
loop_
_atom_site_label
_atom_site_type_symbol
_atom_site_fract_x
_atom_site_fract_y
_atom_site_fract_z
Ca1 Ca 0.000 0.500 0.000
Ca2 Ca 0.500 0.000 0.000
Ta1 Ta 0.500 0.500 0.500
P1 P 0.000 0.000 0.000
Ca3 Ca 0.000 0.000 0.500
```

# 20
## KSr2W (PBEsol)

Data for crystalline KSr2W at its relaxed geometry.

Output
- energy relative to the elements (eV per formula unit) = 4.1
- total DFT energy (no corrections) (eV/atom) = -3.63
- crystal system = tetragonal

Geometry as CIF:
```
data_KSr2W
_cell_length_a 3.394
_cell_length_b 3.395
_cell_length_c 12.188
_cell_angle_alpha 90.04
_cell_angle_beta 90.00
_cell_angle_gamma 90.00
_symmetry_space_group_name_H-M 'P 1'
_symmetry_Int_Tables_number 1
loop_
_symmetry_equiv_pos_as_xyz
'x,y,z'
loop_
_atom_site_label
_atom_site_type_symbol
_atom_site_fract_x
_atom_site_fract_y
_atom_site_fract_z
Sr1 Sr 0.000 0.000 0.322
K1 K 0.500 0.500 0.000
W1 W 0.500 0.500 0.500
Sr2 Sr 0.000 0.000 0.678
```